# SrAl2SnPt, optimized geometry, DFT PBE-GGA
data_SrAl2SnPt
_cell_length_a 4.8452
_cell_length_b 4.8452
_cell_length_c 5.7486
_cell_angle_alpha 90.00
_cell_angle_beta 90.00
_cell_angle_gamma 90.00
_space_group_name_H-M_alt 'P 4/m m m'
_space_group_IT_number 123
_space_group_name_Hall '-P 4 2'
loop_
_atom_site_label
_atom_site_type_symbol
_atom_site_fract_x
_atom_site_fract_y
_atom_site_fract_z
Sr1 Sr 0.0000 0.0000 0.0000
Al1 Al 0.0000 0.5000 0.5000
Sn1 Sn 0.5000 0.5000 0.0000
Pt1 Pt 0.0000 0.0000 0.5000
# Formation energy from the elements in eV/f.u.: -1.75
# Total energy in eV/atom: -4.1928